Compound: TmTiV2O8
Source: the Alexandria database
Functional: PBE with a Hubbard U
Structure: relaxed

**V**: 169 Å³ per cell
**Uncorrected energy**: -7.955 eV/atom

Cell lengths 5.787, 5.787, 5.825 Å; angles 90.00, 90.00, 120.00 degrees
Each line ends with the local moment (μB).
Positions (direct):
O1 0.667 0.333 0.869  -0.02
O2 0.315 0.158 0.226  -0.02
O3 0.685 0.842 0.774  -0.02
O4 0.842 0.158 0.226  -0.02
O5 0.158 0.842 0.774  -0.02
O6 0.333 0.667 0.131  -0.02
O7 0.158 0.315 0.774  -0.02
O8 0.842 0.685 0.226  -0.02
Ti1 0.000 0.000 0.000  0.66
V1 0.667 0.333 0.147  0.22
V2 0.333 0.667 0.853  0.22
Tm1 0.000 0.000 0.500  0.04